## w
NiTe2HN: optimized geometry, GGA-PBE.

Unit cell a=5.310 b=5.310 c=3.354 alpha=90.00 beta=90.00 gamma=90.00
Space group P4/mmm (No. 123)
Asymmetric unit:
Ni 0.000 0.000 0.000 [1 per cell]
Te 0.000 0.500 0.000 [2 per cell]
H 0.500 0.500 0.500 [1 per cell]
N 0.000 0.000 0.500 [1 per cell]

Properties
As for the density: 5.77 Mg/m³. The calculation puts the size of the total moment at 0.05 μB/atom.


## x
NiTe2HN: optimized geometry, GGA-PBE.

Unit cell a=5.011 b=5.011 c=2.849 alpha=90.00 beta=90.00 gamma=90.00
Space group P4/mmm (No. 123)
Asymmetric unit:
Ni 0.000 0.000 0.000 [1 per cell]
Te 0.000 0.500 0.500 [2 per cell]
H 0.500 0.500 0.500 [1 per cell]
N 0.500 0.500 0.000 [1 per cell]

Properties
As for the density: 7.63 Mg/m³. The calculation puts the size of the total moment at 0.00 μB/atom.


Taking the most stable structure as the zero point, the relative energies in meV per atom are w 0; x 100.